1.
This record from Alexandria describes crystalline Er3Ga7Pd2 at its relaxed geometry. The functional is PBE.

Geometry as POSCAR:
```
Er3Ga7Pd2
1.0
4.159 0.000 0.000
0.000 4.199 0.003
0.000 -2.088 13.319
Er Ga Pd
3 7 2
Cartesian
2.080 2.099 0.001 Er
0.000 0.011 4.827 Er
0.000 2.099 8.495 Er
2.080 2.111 11.177 Ga
0.000 0.000 0.000 Ga
0.000 0.000 11.189 Ga
2.080 2.105 5.997 Ga
0.000 2.110 2.132 Ga
2.080 0.005 7.324 Ga
2.080 -0.001 2.145 Ga
2.080 2.097 3.536 Pd
2.080 0.013 9.785 Pd
```

## Properties
Total moment (μB per atom): 0.0000
Volume (Å³ per atom): 19.383
Energy of formation from the pure elements (meV/atom): -655
Fermi-level density of states (states/eV/f.u.): 6.58

=====

2.
This record from Alexandria describes crystalline Be2AgH at its relaxed geometry. The functional is PBE.

Geometry as POSCAR:
```
Be2AgH
1.0
-3.083 3.295 1.418
-3.472 -3.212 -0.085
-2.642 -0.729 3.839
Be H Ag
4 2 2
Cartesian
-2.157 0.552 1.438 Be
-5.414 -1.416 3.355 Be
-4.081 -0.853 1.481 Be
-6.744 0.427 4.070 Be
-4.696 -1.949 2.210 H
-3.278 0.042 0.666 H
0.000 0.000 0.000 Ag
-4.502 1.304 2.962 Ag
```

## Properties
Total moment (μB per atom): 0.0000
Volume (Å³ per atom): 9.305
Fermi-level density of states (states/eV/f.u.): 0.00
Excess energy over the best structure of this formula in the dataset (meV per atom): 0.0

=====

Q: The highest volume belongs to which entry?
A: Er3Ga7Pd2